No. 1
Ba2NpCl2O4 | PBE-GGA | optimized geometry

Unit cell a=6.359 b=6.359 c=6.359 alpha=118.11 beta=118.11 gamma=93.30
Positions (direct):
Ba  0.250  0.750  0.500
Ba  0.750  0.250  0.500
Np  0.000  0.000  0.000
Cl  0.308  0.308  0.000
Cl  0.692  0.692  0.000
O  0.211  0.211  0.422
O  0.211  0.789  0.000
O  0.789  0.211  0.000
O  0.789  0.789  0.578

Output
ΔE_f (raw): -2.605 eV per atom

No. 2
RbBaNpCl6 | PBE-GGA | optimized geometry

Unit cell a=7.806 b=7.806 c=13.399 alpha=90.00 beta=90.00 gamma=120.00
Positions (direct):
Rb  0.000  0.000  0.000
Rb  0.000  0.000  0.500
Ba  0.333  0.667  0.250
Ba  0.667  0.333  0.750
Np  0.333  0.667  0.750
Np  0.667  0.333  0.250
Cl  0.034  0.381  0.636
Cl  0.034  0.652  0.864
Cl  0.348  0.381  0.864
Cl  0.348  0.966  0.636
Cl  0.381  0.034  0.136
Cl  0.381  0.348  0.364
Cl  0.619  0.652  0.636
Cl  0.619  0.966  0.864
Cl  0.652  0.034  0.364
Cl  0.652  0.619  0.136
Cl  0.966  0.348  0.136
Cl  0.966  0.619  0.364

Output
D(E_F): 17.40 states/eV per cell
ΔE_f (raw): -2.044 eV per atom

No. 3
Rb2BaNpCl8 | PBE-GGA | optimized geometry

Unit cell a=5.520 b=9.806 c=7.775 alpha=90.00 beta=99.53 gamma=90.00
Positions (direct):
Rb  0.000  0.250  0.000
Rb  0.000  0.750  0.000
Ba  0.500  0.000  0.500
Np  0.500  0.500  0.500
Cl  0.012  0.000  0.733
Cl  0.074  0.500  0.299
Cl  0.433  0.292  0.708
Cl  0.433  0.708  0.708
Cl  0.567  0.292  0.292
Cl  0.567  0.708  0.292
Cl  0.926  0.500  0.701
Cl  0.988  0.000  0.267

Output
D(E_F): 4.67 states/eV per cell
ΔE_f (raw): -1.957 eV per atom

No. 4
BaNpTlCl6 | PBE-GGA | optimized geometry

Unit cell a=7.781 b=7.781 c=12.953 alpha=90.00 beta=90.00 gamma=120.00
Positions (direct):
Ba  0.333  0.667  0.250
Ba  0.667  0.333  0.750
Np  0.333  0.667  0.750
Np  0.667  0.333  0.250
Tl  0.000  0.000  0.000
Tl  0.000  0.000  0.500
Cl  0.034  0.378  0.633
Cl  0.034  0.656  0.867
Cl  0.344  0.378  0.867
Cl  0.344  0.966  0.633
Cl  0.378  0.034  0.133
Cl  0.378  0.344  0.367
Cl  0.622  0.656  0.633
Cl  0.622  0.966  0.867
Cl  0.656  0.034  0.367
Cl  0.656  0.622  0.133
Cl  0.966  0.344  0.133
Cl  0.966  0.622  0.367

Output
D(E_F): 17.50 states/eV per cell
ΔE_f (raw): -1.821 eV per atom

No. 5
Ba2ClO | PBE-GGA | optimized geometry

Unit cell a=7.805 b=7.805 c=7.805 alpha=127.39 beta=127.39 gamma=77.61
Positions (direct):
Ba  0.051  0.625  0.926
Ba  0.375  0.301  0.426
Ba  0.699  0.125  0.074
Ba  0.875  0.949  0.574
Cl  0.250  0.750  0.500
Cl  0.500  0.500  0.000
O  0.000  0.000  0.000
O  0.750  0.250  0.500

Output
D(E_F): 5.07 states/eV per cell
relative energy among the computed polymorphs: 74 meV/atom
ΔE_f (raw): -2.047 eV per atom

No. 6
Ba2ClO | PBE-GGA | optimized geometry

Unit cell a=5.141 b=5.141 c=5.141 alpha=60.00 beta=60.00 gamma=60.00
Positions (direct):
Ba  0.250  0.250  0.250
Ba  0.750  0.750  0.750
Cl  0.000  0.000  0.000
O  0.500  0.500  0.500

Output
D(E_F): 1.94 states/eV per cell
relative energy among the computed polymorphs: 455 meV/atom
ΔE_f (raw): -1.667 eV per atom

No. 7
Ba9Cl14O2 | PBE-GGA | optimized geometry

Unit cell a=8.877 b=8.877 c=12.400 alpha=90.00 beta=90.00 gamma=120.00
Positions (direct):
Ba  0.000  0.000  0.000
Ba  0.079  0.374  0.336
Ba  0.295  0.921  0.336
Ba  0.333  0.667  0.054
Ba  0.374  0.295  0.664
Ba  0.626  0.705  0.336
Ba  0.667  0.333  0.946
Ba  0.705  0.079  0.664
Ba  0.921  0.626  0.664
Cl  0.000  0.000  0.254
Cl  0.000  0.000  0.746
Cl  0.033  0.676  0.909
Cl  0.074  0.387  0.594
Cl  0.314  0.926  0.594
Cl  0.324  0.357  0.909
Cl  0.357  0.033  0.091
Cl  0.387  0.314  0.406
Cl  0.613  0.686  0.594
Cl  0.643  0.967  0.909
Cl  0.676  0.643  0.091
Cl  0.686  0.074  0.406
Cl  0.926  0.613  0.406
Cl  0.967  0.324  0.091
O  0.333  0.667  0.263
O  0.667  0.333  0.737

Output
D(E_F): 0.00 states/eV per cell
ΔE_f (raw): -2.571 eV per atom

No. 8
BaCl2O2 | PBE-GGA | optimized geometry

Unit cell a=5.608 b=9.947 c=9.978 alpha=90.00 beta=121.14 gamma=90.00
Positions (direct):
Ba  0.178  0.224  0.399
Ba  0.178  0.276  0.899
Ba  0.822  0.724  0.101
Ba  0.822  0.776  0.601
Cl  0.170  0.602  0.926
Cl  0.170  0.898  0.426
Cl  0.386  0.565  0.622
Cl  0.386  0.935  0.122
Cl  0.614  0.065  0.878
Cl  0.614  0.435  0.378
Cl  0.830  0.102  0.574
Cl  0.830  0.398  0.074
O  0.031  0.153  0.093
O  0.031  0.347  0.593
O  0.382  0.727  0.793
O  0.382  0.773  0.293
O  0.618  0.227  0.707
O  0.618  0.273  0.207
O  0.969  0.653  0.407
O  0.969  0.847  0.907

Output
relative energy among the computed polymorphs: 9 meV/atom
ΔE_f (raw): -0.643 eV per atom

No. 9
Ba2ClO | PBE-GGA | optimized geometry

Unit cell a=4.052 b=4.052 c=15.090 alpha=90.00 beta=90.00 gamma=120.00
Positions (direct):
Ba  0.333  0.667  0.099
Ba  0.333  0.667  0.401
Ba  0.667  0.333  0.599
Ba  0.667  0.333  0.901
Cl  0.333  0.667  0.750
Cl  0.667  0.333  0.250
O  0.000  0.000  0.000
O  0.000  0.000  0.500

Output
D(E_F): 4.05 states/eV per cell
relative energy among the computed polymorphs: 10 meV/atom
ΔE_f (raw): -2.111 eV per atom

No. 10
Ba3Cl2O2 | PBE-GGA | optimized geometry

Unit cell a=9.059 b=9.059 c=13.841 alpha=125.59 beta=125.59 gamma=28.21
Positions (direct):
Ba  0.103  0.103  0.259
Ba  0.368  0.368  0.953
Ba  0.374  0.374  0.316
Ba  0.626  0.626  0.684
Ba  0.632  0.632  0.047
Ba  0.897  0.897  0.741
Cl  0.110  0.110  0.504
Cl  0.129  0.129  0.847
Cl  0.871  0.871  0.153
Cl  0.890  0.890  0.496
O  0.207  0.207  0.185
O  0.456  0.456  0.854
O  0.544  0.544  0.146
O  0.793  0.793  0.815

Output
D(E_F): 0.00 states/eV per cell
relative energy among the computed polymorphs: 10 meV/atom
ΔE_f (raw): -2.516 eV per atom

No. 11
Ba3Cl2O2 | PBE-GGA | optimized geometry

Unit cell a=7.590 b=8.055 c=7.792 alpha=90.00 beta=117.43 gamma=90.00
Positions (direct):
Ba  0.000  0.000  0.000
Ba  0.000  0.500  0.500
Ba  0.382  0.110  0.760
Ba  0.382  0.390  0.260
Ba  0.618  0.610  0.740
Ba  0.618  0.890  0.240
Cl  0.155  0.658  0.918
Cl  0.155  0.842  0.418
Cl  0.845  0.158  0.582
Cl  0.845  0.342  0.082
O  0.346  0.113  0.073
O  0.346  0.387  0.573
O  0.654  0.613  0.427
O  0.654  0.887  0.927

Output
D(E_F): 0.00 states/eV per cell
relative energy among the computed polymorphs: 12 meV/atom
ΔE_f (raw): -2.514 eV per atom

No. 12
Ba3Cl2O2 | PBE-GGA | optimized geometry

Unit cell a=13.762 b=6.423 c=10.615 alpha=90.00 beta=90.00 gamma=90.00
Positions (direct):
Ba  0.041  0.250  0.207
Ba  0.067  0.250  0.574
Ba  0.206  0.750  0.373
Ba  0.294  0.250  0.873
Ba  0.433  0.750  0.074
Ba  0.459  0.750  0.707
Ba  0.541  0.250  0.293
Ba  0.567  0.250  0.926
Ba  0.706  0.750  0.127
Ba  0.794  0.250  0.627
Ba  0.933  0.750  0.426
Ba  0.959  0.750  0.793
Cl  0.059  0.250  0.894
Cl  0.213  0.750  0.674
Cl  0.287  0.250  0.174
Cl  0.441  0.750  0.394
Cl  0.559  0.250  0.606
Cl  0.713  0.750  0.826
Cl  0.787  0.250  0.326
Cl  0.941  0.750  0.106
O  0.075  0.002  0.379
O  0.075  0.498  0.379
O  0.425  0.502  0.879
O  0.425  0.998  0.879
O  0.575  0.002  0.121
O  0.575  0.498  0.121
O  0.925  0.502  0.621
O  0.925  0.998  0.621

Output
D(E_F): 0.00 states/eV per cell
relative energy among the computed polymorphs: 40 meV/atom
ΔE_f (raw): -2.486 eV per atom